{"formula": "MgPbS2O8", "functional": "PBE-GGA", "state": "relaxed", "spacegroup": "C2/m (12)", "density_g_cm3": 4.2, "magnetic_moment_mub_per_cell": 0.0, "e_form_raw_ev_per_atom": -1.7096, "lattice_angstrom": [[4.951, -0.067, -0.008], [2.225, 4.424, -0.008], [0.326, 0.198, 7.546]], "species": ["O", "O", "S", "O", "O", "O", "Mg", "O", "O", "O", "S", "Pb"], "frac_coords": [[0.232, 0.232, 0.915], [0.768, 0.768, 0.085], [0.360, 0.360, 0.777], [0.770, 0.305, 0.203], [0.695, 0.230, 0.797], [0.230, 0.695, 0.797], [0.000, 0.000, 0.000], [0.305, 0.770, 0.203], [0.302, 0.302, 0.594], [0.698, 0.698, 0.406], [0.640, 0.640, 0.223], [0.000, 0.000, 0.500]]}